Crystalline CeAl4Pd2Pt at its relaxed geometry, computed with PBE.

CIF file:
```
data_CeAl4Pd2Pt
_cell_length_a 4.2889
_cell_length_b 4.2889
_cell_length_c 26.9791
_cell_angle_alpha 90.00
_cell_angle_beta 90.00
_cell_angle_gamma 120.00
_symmetry_space_group_name_H-M 'R -3 m'
_symmetry_Int_Tables_number 166
_symmetry_space_group_name_Hall '-R 3 2"'
loop_
_atom_site_label
_atom_site_type_symbol
_atom_site_fract_x
_atom_site_fract_y
_atom_site_fract_z
_atom_site_occupancy
Ce1 Ce 0.0000 0.0000 0.0000 1
Al1 Al 0.0000 0.0000 0.1326 1
Al2 Al 0.0000 0.0000 0.4038 1
Pd1 Pd 0.0000 0.0000 0.2369 1
Pt1 Pt 0.0000 0.0000 0.5000 1
```

Output
DFT total energy, eV/atom: -5.434
Total magnetization, Bohr magnetons per cell: 2.3
Calculated density, g/cm3: 7.603

Crystalline Ce2Al4Pd3Pt at its relaxed geometry, computed with PBE.

CIF file:
```
data_Ce2Al4Pd3Pt
_cell_length_a 4.3053
_cell_length_b 4.3053
_cell_length_c 10.3358
_cell_angle_alpha 90.00
_cell_angle_beta 90.00
_cell_angle_gamma 90.00
_symmetry_space_group_name_H-M 'P -4 m 2'
_symmetry_Int_Tables_number 115
loop_
_symmetry_equiv_pos_as_xyz
'x,y,z'
'y,-x,-z'
'-x,-y,z'
'-y,x,-z'
'-x,y,z'
'-y,-x,-z'
'x,-y,z'
'y,x,-z'
loop_
_atom_site_label
_atom_site_type_symbol
_atom_site_fract_x
_atom_site_fract_y
_atom_site_fract_z
_atom_site_occupancy
Ce1 Ce 0.0000 0.5000 0.2500 1
Al1 Al 0.0000 0.0000 0.0000 1
Al2 Al 0.0000 0.5000 0.6261 1
Al3 Al 0.5000 0.5000 0.0000 1
Pd1 Pd 0.0000 0.5000 0.8673 1
Pd2 Pd 0.5000 0.5000 0.5000 1
Pt1 Pt 0.0000 0.0000 0.5000 1
```

Output
DFT total energy, eV/atom: -5.712
Total magnetization, Bohr magnetons per cell: 1.4
Calculated density, g/cm3: 7.823

Crystalline CePuAlPd at its relaxed geometry, computed with PBE.

CIF file:
```
data_CePuAlPd
_cell_length_a 6.9294
_cell_length_b 6.9294
_cell_length_c 6.9294
_cell_angle_alpha 90.00
_cell_angle_beta 90.00
_cell_angle_gamma 90.00
_symmetry_space_group_name_H-M 'F -4 3 m'
_symmetry_Int_Tables_number 216
_symmetry_space_group_name_Hall 'F -4 2 3'
loop_
_atom_site_label
_atom_site_type_symbol
_atom_site_fract_x
_atom_site_fract_y
_atom_site_fract_z
_atom_site_occupancy
Ce1 Ce 0.0000 0.0000 0.0000 1
Pu1 Pu 0.2500 0.2500 0.7500 1
Al1 Al 0.0000 0.0000 0.5000 1
Pd1 Pd 0.2500 0.2500 0.2500 1
```

Output
DFT total energy, eV/atom: -7.704
Total magnetization, Bohr magnetons per cell: 28.0
Calculated density, g/cm3: 10.331

What is the total magnetization in the third record? 28.0 Bohr magnetons per cell